# Tl2CoPt2

A relaxed Tl2CoPt2 crystal (PBE-GGA, Alexandria).

Computed properties:
- Calculated volume: 108 Å³/cell
- Formation energy from the elements: 0.684 eV per atom
- Distance to the lowest polymorph of the same formula: 438 meV/atom
- DOS at the Fermi energy: 1.20 states/eV/atom
- Space group: No. 139
- Calculated total energy: -20.50 eV per cell

Cell: 4.1267 4.1267 6.9702 Å, 72.78 72.78 90.00°
Last column: nearest neighbours and their distance in Å.
Positions (direct):
Tl: 0.7500 0.2500 0.5000  4 Pt 2.81, 4 Tl 2.92
Tl: 0.2500 0.7500 0.5000  4 Pt 2.81, 4 Tl 2.92
Co: 0.0000 0.0000 0.0000  8 Pt 3.18
Pt: 0.4007 0.4007 0.1986  1 Pt 2.51, 4 Tl 2.81
Pt: 0.5993 0.5993 0.8014  1 Pt 2.51, 4 Tl 2.81

# AgP4

A relaxed AgP4 crystal (PBE-GGA, Alexandria).

Computed properties:
- Calculated volume: 99 Å³/cell
- Formation energy from the elements: 0.952 eV per atom
- Distance to the lowest polymorph of the same formula: 453 meV/atom
- DOS at the Fermi energy: 0.98 states/eV/atom
- Space group: No. 229
- Calculated total energy: -19.73 eV per cell

Cell: 5.0428 5.0428 5.0428 Å, 109.47 109.47 109.47°
Last column: nearest neighbours and their distance in Å.
Positions (direct):
Ag: 0.0000 0.0000 0.0000  8 P 2.52
P: 0.0000 0.5000 0.0000  2 Ag 2.52
P: 0.0000 0.0000 0.5000  2 Ag 2.52
P: 0.5000 0.5000 0.5000  2 Ag 2.52
P: 0.5000 0.0000 0.0000  2 Ag 2.52